TcPb2C2 (GGA-PBE, optimized geometry); N(E_F) = 4.2 states/eV per cell; space group = I4/mmm (139); energy of formation from the pure elements = 0.972 eV per atom; E above lowest polymorph = 0 meV per atom; total DFT energy (no corrections) = -6.27 eV per atom
1.0
-2.789 2.789 2.811
2.789 -2.789 2.811
2.789 2.789 -2.811
Tc Pb C
1 2 2
direct
0.000 0.000 0.000
0.250 0.750 0.500
0.750 0.250 0.500
0.382 0.382 0.000
0.618 0.618 0.000